#A
First-principles (PBE) data for an optimized crystal structure of KYCr, as listed in Alexandria.

Cell: 5.4168 5.4168 5.4168 Å, 60.00 60.00 60.00°
Closest atoms and distances in Å follow each position.
Element x y z (fractional)
Cr: 0.7500 0.7500 0.7500  4 K 3.32, 4 Y 3.32
K: 0.0000 0.0000 0.0000  4 Cr 3.32
Y: 0.5000 0.5000 0.5000  4 Cr 3.32

Computed properties:
Magnetic moment, Bohr magnetons per cell: 4.63
Space group: No. 216

=====

#B
First-principles (PBE) data for an optimized crystal structure of KYCr, as listed in Alexandria.

Cell: 3.6108 3.6108 8.8792 Å, 90.00 90.00 120.00°
Closest atoms and distances in Å follow each position.
Element x y z (fractional)
Cr: 0.0000 0.0000 0.9687  3 Y 3.03
K: 0.6667 0.3333 0.3096  6 K 3.61, 3 Cr 3.67
Y: 0.3333 0.6667 0.7217  3 Cr 3.03

Computed properties:
Magnetic moment, Bohr magnetons per cell: 4.06
Space group: No. 156

=====

Calculated relative energies: #A 34.0; #B 0.0, given in kJ/mol of atoms

=====

#A
First-principles (PBE) data for an optimized crystal structure of KYCr, as listed in Alexandria.

Cell: 8.2226 8.2206 3.6047 Å, 77.37 77.31 25.33°
Closest atoms and distances in Å follow each position.
Element x y z (fractional)
Cr: 0.0214 0.0214 0.9786  4 Y 3.03
K: 0.3523 0.3523 0.6477  4 K 3.60, 4 Cr 3.67
Y: 0.6263 0.6263 0.3737  4 Cr 3.03

Computed properties:
Magnetic moment, Bohr magnetons per cell: 3.61
Space group: No. 42

=====

#B
First-principles (PBE) data for an optimized crystal structure of KYCr, as listed in Alexandria.

Cell: 5.7026 5.7026 3.3174 Å, 90.00 90.00 120.00°
Closest atoms and distances in Å follow each position.
Element x y z (fractional)
Cr: 0.0000 0.0000 0.0542  2 Cr 3.32, 3 K 3.39, 3 Y 3.55
K: 0.6667 0.3333 0.2922  2 K 3.32, 3 Cr 3.39, 3 Y 3.50
Y: 0.3333 0.6667 0.6536  2 Y 3.32, 3 K 3.50, 3 Cr 3.55

Computed properties:
Magnetic moment, Bohr magnetons per cell: 4.03
Space group: No. 156

=====

Calculated relative energies: #A 0.0; #B 26.9, given in kJ/mol of atoms

=====

#A
First-principles (PBE) data for an optimized crystal structure of KZn2Cr, as listed in Alexandria.

Cell: 5.2446 5.2446 3.0319 Å, 90.00 90.00 90.00°
Closest atoms and distances in Å follow each position.
Element x y z (fractional)
Cr: 0.5000 0.0000 0.5000  8 Zn 3.03, 2 Cr 3.03
K: 0.0000 0.5000 0.5000  8 Zn 3.03, 2 K 3.03
Zn: 0.0000 0.0000 0.0000  4 Cr 3.03, 4 K 3.03, 2 Zn 3.03
Zn: 0.5000 0.5000 0.0000  4 Cr 3.03, 4 K 3.03, 2 Zn 3.03

Computed properties:
Magnetic moment, Bohr magnetons per cell: 3.70
Space group: No. 123

=====

#B
First-principles (PBE) data for an optimized crystal structure of KZn2Cr, as listed in Alexandria.

Cell: 4.4708 4.4708 6.7568 Å, 70.13 70.13 60.02°
Closest atoms and distances in Å follow each position.
Element x y z (fractional)
Cr: 0.4272 0.4272 0.7161  6 Zn 2.59-2.62
K: 0.2530 0.2530 0.2501  1 Cr 3.32, 1 Zn 3.32
Zn: 0.0704 0.0704 0.7850  3 Zn 2.59, 3 Cr 2.62
Zn: 0.7494 0.7494 0.7489  3 Cr 2.59, 3 Zn 2.59

Computed properties:
Magnetic moment, Bohr magnetons per cell: 3.41
Space group: No. 8

=====

#C
First-principles (PBE) data for an optimized crystal structure of KZn2Cr, as listed in Alexandria.

Cell: 4.3294 3.0490 7.3663 Å, 85.76 90.00 90.00°
Closest atoms and distances in Å follow each position.
Element x y z (fractional)
Cr: 0.0000 0.5817 0.3603  6 Zn 2.61-2.68
K: 0.5000 0.6899 0.7560  2 K 3.05, 1 Zn 3.41
Zn: 0.0000 0.1330 0.0715  2 Cr 2.61, 2 Zn 2.80
Zn: 0.5000 0.0954 0.3122  4 Cr 2.66-2.68, 2 Zn 2.80

Computed properties:
Magnetic moment, Bohr magnetons per cell: 3.79
Space group: No. 6

=====

#D
First-principles (PBE) data for an optimized crystal structure of KZn2Cr, as listed in Alexandria.

Cell: 5.0281 5.0281 5.0281 Å, 60.00 60.00 60.00°
Closest atoms and distances in Å follow each position.
Element x y z (fractional)
Cr: 0.5000 0.5000 0.5000  4 K 3.08, 4 Zn 3.08
K: 0.7500 0.7500 0.7500  4 Cr 3.08, 4 Zn 3.08
Zn: 0.0000 0.0000 0.0000  4 Zn 3.08, 4 K 3.08
Zn: 0.2500 0.2500 0.2500  4 Cr 3.08, 4 Zn 3.08

Computed properties:
Magnetic moment, Bohr magnetons per cell: 4.62
Space group: No. 216

=====

Calculated relative energies: #A 29.1; #B 0.0; #C 10.5; #D 38.6, given in kJ/mol of atoms